No. 1
Er4Bi2PSe | PBE | relaxed

It has space group P2/m (No. 10), with a = 7.275 Å, b = 4.196 Å, c = 7.375 Å, α = 90.00°, β = 109.08° and γ = 90.00°. Symmetry generates all atoms from Er at (0.232, 0.000, 0.221), Er at (0.248, 0.500, 0.773), Bi at (0.000, 0.000, 0.500), Bi at (0.500, 0.500, 0.500), P at (0.000, 0.500, 0.000) and Se at (0.500, 0.000, 0.000).

As for the volume: 213 Å³ per cell. Its uncorrected formation energy is -1220 meV per atom.



No. 2
Sr2Er2Bi2P | PBE | relaxed

It has space group I4/mmm (No. 139), with a = 5.236 Å, b = 5.236 Å, c = 17.246 Å, α = 90.00°, β = 90.00° and γ = 90.00°. Symmetry generates all atoms from Sr at (0.000, 0.000, 0.173), Er at (0.000, 0.500, 0.000), Bi at (0.000, 0.000, 0.373) and P at (0.000, 0.000, 0.000).

Its uncorrected energy is -0.3422 Ry per atom. As for the volume: 473 Å³ per cell.